(1)
Material: Al4ZnFe7
Method: DFT, PBE
State: optimized geometry

a = 4.1129 Å, b = 4.1129 Å, c = 10.1698 Å
α = 90.00°, β = 90.00°, γ = 120.00°
Last column: magnetic moment on the atom in μB.
Positions (direct):
Zn 0.0000 0.0000 0.5000  -0.05
Fe 0.0000 0.0000 0.7624  2.29
Al 0.6667 0.3333 0.0760  -0.04
Al 0.3333 0.6667 0.6663  -0.05
Fe 0.0000 0.0000 0.2376  2.29
Al 0.3333 0.6667 0.9240  -0.04
Al 0.6667 0.3333 0.3337  -0.05
Fe 0.3333 0.6667 0.4223  2.03
Fe 0.6667 0.3333 0.8178  2.23
Fe 0.0000 0.0000 0.0000  1.59
Fe 0.3333 0.6667 0.1822  2.23
Fe 0.6667 0.3333 0.5777  2.03

(2)
Material: Al2ZnFe
Method: DFT, PBE
State: optimized geometry

a = 8.5474 Å, b = 8.5474 Å, c = 8.5474 Å
α = 18.90°, β = 18.90°, γ = 18.90°
Last column: magnetic moment on the atom in μB.
Positions (direct):
Al 0.9951 0.9951 0.9951  -0.02
Al 0.5049 0.5049 0.5049  -0.02
Zn 0.7500 0.7500 0.7500  0.01
Fe 0.2500 0.2500 0.2500  2.12

(3)
Material: AlZnFe5
Method: DFT, PBE
State: optimized geometry

a = 4.8847 Å, b = 6.3461 Å, c = 6.3461 Å
α = 97.80°, β = 102.98°, γ = 102.98°
Last column: magnetic moment on the atom in μB.
Positions (direct):
Al 0.5000 0.5000 0.5000  -0.06
Fe 0.8539 0.2610 0.7361  2.43
Fe 0.7500 0.6069 0.8931  1.98
Fe 0.4839 0.1101 0.3581  2.36
Fe 0.6461 0.7639 0.2390  2.43
Fe 0.9839 0.8581 0.6101  2.36
Fe 0.1461 0.7390 0.2639  2.43
Al 0.0000 0.0000 0.0000  -0.06
Zn 0.2500 0.6497 0.8503  -0.07
Fe 0.3539 0.2361 0.7610  2.43
Fe 0.0161 0.1419 0.3899  2.36
Fe 0.2500 0.3931 0.1069  1.98
Zn 0.7500 0.3503 0.1497  -0.07
Fe 0.5161 0.8899 0.6419  2.36

(4)
Material: Al2ZnFe5
Method: DFT, PBE
State: optimized geometry

a = 5.8045 Å, b = 4.9874 Å, c = 5.8045 Å
α = 54.41°, β = 90.00°, γ = 125.59°
Last column: magnetic moment on the atom in μB.
Positions (direct):
Fe 0.7778 0.0555 0.2222  1.63
Al 0.2777 0.5555 0.2223  -0.06
Al 0.7777 0.5555 0.7223  -0.06
Zn 0.7778 0.5556 0.2222  -0.05
Fe 0.2777 0.0555 0.2222  1.63
Fe 0.7778 0.0555 0.7223  1.63
Fe 0.2777 0.0555 0.7223  1.63
Fe 0.2778 0.5555 0.7222  2.38

(5)
Material: Al2ZnFe
Method: DFT, PBE
State: optimized geometry

a = 2.8019 Å, b = 2.8019 Å, c = 8.5065 Å
α = 80.52°, β = 80.52°, γ = 60.00°
Last column: magnetic moment on the atom in μB.
Positions (direct):
Al 0.0766 0.0766 0.7703  -0.02
Al 0.2569 0.2569 0.2294  -0.02
Fe 0.6664 0.6664 0.0009  1.82
Zn 0.5002 0.5002 0.4994  0.00

(6)
Material: AlZnFe6
Method: DFT, PBE
State: optimized geometry

a = 6.3227 Å, b = 6.3227 Å, c = 10.2828 Å
α = 90.00°, β = 90.00°, γ = 108.90°
Last column: magnetic moment on the atom in μB.
Positions (direct):
Fe 0.5000 0.5000 0.7500  2.36
Fe 0.2499 0.7501 0.5003  2.42
Fe 0.3755 0.1255 0.1247  2.45
Fe 0.8748 0.6249 0.6252  2.38
Fe 0.1255 0.3755 0.1247  2.45
Fe 0.8748 0.6249 0.8748  2.38
Fe 0.1252 0.3751 0.6252  2.38
Zn 0.2496 0.7504 0.2500  -0.08
Al 0.2501 0.7499 0.7500  -0.09
Fe 0.8745 0.6245 0.1247  2.45
Fe 0.3751 0.1252 0.6252  2.38
Zn 0.7504 0.2496 0.2500  -0.08
Fe 0.3755 0.1255 0.3753  2.45
Zn 0.0000 0.0000 0.4999  -0.08
Fe 0.1255 0.3755 0.3753  2.45
Zn 0.0000 0.0000 0.0001  -0.08
Fe 0.8745 0.6245 0.3753  2.45
Fe 0.0000 0.0000 0.7500  2.40
Fe 0.3751 0.1252 0.8748  2.38
Fe 0.7501 0.2499 0.9997  2.42
Al 0.5000 0.5000 0.5002  -0.09
Fe 0.2499 0.7501 0.9997  2.42
Fe 0.5000 0.5000 0.2500  2.43
Fe 0.6249 0.8748 0.8748  2.38
Fe 0.6249 0.8748 0.6252  2.38
Al 0.7499 0.2501 0.7500  -0.09
Fe 0.1252 0.3751 0.8748  2.38
Fe 0.7501 0.2499 0.5003  2.42
Fe 0.0000 0.0000 0.2500  2.48
Al 0.5000 0.5000 0.9998  -0.09
Fe 0.6245 0.8745 0.3753  2.45
Fe 0.6245 0.8745 0.1247  2.45

(7)
Material: AlZnFe
Method: DFT, PBE
State: optimized geometry

a = 4.0743 Å, b = 4.0743 Å, c = 4.0743 Å
α = 60.00°, β = 60.00°, γ = 60.00°
Last column: magnetic moment on the atom in μB.
Positions (direct):
Fe 0.5000 0.5000 0.5000  2.52
Zn 0.7500 0.7500 0.7500  -0.05
Al 0.0000 0.0000 0.0000  -0.03

(8)
Material: Al2ZnFe
Method: DFT, PBE
State: optimized geometry

a = 4.2446 Å, b = 4.2446 Å, c = 4.2446 Å
α = 60.00°, β = 60.00°, γ = 60.00°
Last column: magnetic moment on the atom in μB.
Positions (direct):
Al 0.2500 0.2500 0.2500  -0.02
Zn 0.7500 0.7500 0.7500  -0.01
Fe 0.5000 0.5000 0.5000  0.94
Al 0.0000 0.0000 0.0000  -0.01

(9)
Material: Al8ZnFe2
Method: DFT, PBE
State: optimized geometry

a = 4.7675 Å, b = 5.1338 Å, c = 7.4141 Å
α = 108.57°, β = 106.92°, γ = 92.62°
Positions (direct):
Al 0.8998 0.4674 0.5427
Al 0.7035 0.0271 0.1414
Al 0.2819 0.3508 0.2755
Zn 0.0910 0.9093 0.9092
Fe 0.7516 0.5702 0.2272
Al 0.9173 0.9803 0.5395
Al 0.2645 0.8378 0.2787
Al 0.8316 0.3455 0.9056
Fe 0.4302 0.2479 0.5909
Al 0.4783 0.7910 0.6768
Al 0.3502 0.4727 0.9125

(10)
Material: AlZnFe
Method: DFT, PBE
State: optimized geometry

a = 4.1435 Å, b = 4.1435 Å, c = 2.6255 Å
α = 90.00°, β = 90.00°, γ = 120.00°
Last column: magnetic moment on the atom in μB.
Positions (direct):
Fe 0.6667 0.3333 0.3388  1.47
Al 0.0000 0.0000 0.9679  -0.04
Zn 0.3333 0.6667 0.6932  -0.05

(11)
Material: Al2ZnFe
Method: DFT, PBE
State: optimized geometry

a = 4.7475 Å, b = 4.7475 Å, c = 4.5339 Å
α = 80.94°, β = 80.94°, γ = 33.08°
Last column: magnetic moment on the atom in μB.
Positions (direct):
Al 0.7621 0.7621 0.7199  -0.02
Al 0.9989 0.9989 0.0154  -0.02
Fe 0.4997 0.4997 0.5176  1.66
Zn 0.2394 0.2394 0.2471  -0.02

(12)
Material: Al2ZnFe
Method: DFT, PBE
State: optimized geometry

a = 4.6227 Å, b = 4.6227 Å, c = 4.6227 Å
α = 131.70°, β = 131.65°, γ = 70.74°
Last column: magnetic moment on the atom in μB.
Positions (direct):
Al 0.9999 0.9999 0.0000  -0.02
Al 0.5001 0.5001 0.0000  -0.02
Fe 0.7500 0.2500 0.5000  1.29
Zn 0.2500 0.7500 0.5000  -0.02

(13)
Material: AlZnFe
Method: DFT, PBE
State: optimized geometry

a = 4.7842 Å, b = 4.7842 Å, c = 4.7842 Å
α = 146.88°, β = 138.71°, γ = 53.92°
Last column: magnetic moment on the atom in μB.
Positions (direct):
Zn 0.6736 0.6736 0.0000  -0.04
Fe 0.3385 0.3385 0.0000  1.51
Al 0.9879 0.9879 0.0000  -0.03

(14)
Material: Al2ZnFe
Method: DFT, PBE
State: optimized geometry

a = 4.4095 Å, b = 2.6948 Å, c = 4.5833 Å
α = 90.00°, β = 90.00°, γ = 90.00°
Last column: magnetic moment on the atom in μB.
Positions (direct):
Zn 0.5000 0.6248 0.7935  -0.02
Al 0.0000 0.1250 0.9467  -0.02
Al 0.5000 0.1249 0.3106  -0.03
Fe 0.0000 0.6252 0.4492  1.55

(15)
Material: AlZn2Fe6
Method: DFT, PBE
State: optimized geometry

a = 4.3199 Å, b = 4.4663 Å, c = 6.8770 Å
α = 71.05°, β = 81.43°, γ = 62.67°
Last column: magnetic moment on the atom in μB.
Positions (direct):
Fe 0.8351 0.1756 0.8332  2.36
Fe 0.1649 0.8244 0.1668  2.36
Zn 0.5000 0.8360 0.8280  -0.08
Fe 0.3252 0.3533 0.5000  2.29
Fe 0.1649 0.4912 0.8332  2.36
Zn 0.5000 0.1640 0.1720  -0.08
Al 0.0000 0.0000 0.5000  -0.07
Fe 0.6748 0.6467 0.5000  2.29
Fe 0.8351 0.5088 0.1668  2.36

(16)
Material: Al2Zn3Fe9
Method: DFT, PBE
State: optimized geometry

a = 4.0469 Å, b = 9.6696 Å, c = 6.9700 Å
α = 133.92°, β = 106.88°, γ = 90.00°
Last column: magnetic moment on the atom in μB.
Positions (direct):
Fe 0.1449 0.8835 0.2898  2.34
Zn 0.0000 0.0000 0.0000  -0.07
Fe 0.3666 0.9891 0.7331  2.14
Al 0.5000 0.3468 0.0000  -0.06
Fe 0.3666 0.7441 0.7331  2.14
Fe 0.1449 0.4063 0.2898  2.34
Zn 0.2723 0.2723 0.5446  -0.06
Zn 0.7277 0.7277 0.4554  -0.06
Fe 0.6334 0.2559 0.2669  2.14
Fe 0.6334 0.0109 0.2669  2.14
Al 0.5000 0.6532 0.0000  -0.06
Fe 0.0000 0.5000 0.0000  2.04
Fe 0.8551 0.1165 0.7102  2.34
Fe 0.8551 0.5937 0.7102  2.34

(17)
Material: Al6Zn2Fe
Method: DFT, PBE
State: optimized geometry

a = 3.0932 Å, b = 7.1314 Å, c = 7.1308 Å
α = 120.00°, β = 90.00°, γ = 90.00°
Positions (direct):
Fe 0.5000 0.0000 0.0000
Al 0.5000 0.6371 0.0000
Al 0.5000 0.3630 0.3630
Al 0.0000 0.7336 0.7336
Al 0.0000 0.2663 0.0000
Zn 0.0000 0.6666 0.3333
Al 0.5000 0.0000 0.6370
Zn 0.0000 0.3334 0.6667
Al 0.0000 0.0000 0.2664

(18)
Material: AlZnFe6
Method: DFT, PBE
State: optimized geometry

a = 4.1566 Å, b = 5.0811 Å, c = 5.0811 Å
α = 115.27°, β = 90.00°, γ = 90.00°
Last column: magnetic moment on the atom in μB.
Positions (direct):
Fe 0.5000 0.8930 0.1070  2.42
Fe 0.5000 0.8951 0.5910  2.33
Fe 0.0000 0.0903 0.3940  2.31
Fe 0.0000 0.6060 0.9097  2.31
Fe 0.5000 0.4090 0.1049  2.33
Al 0.5000 0.4024 0.5976  -0.08
Zn 0.0000 0.0981 0.9019  -0.08
Fe 0.0000 0.6059 0.3941  2.43

(19)
Material: AlZnFe
Method: DFT, PBE
State: optimized geometry

a = 4.0831 Å, b = 4.0831 Å, c = 4.0831 Å
α = 60.00°, β = 60.00°, γ = 60.00°
Last column: magnetic moment on the atom in μB.
Positions (direct):
Zn 0.0000 0.0000 0.0000  -0.02
Al 0.5000 0.5000 0.5000  -0.05
Fe 0.7500 0.7500 0.7500  2.07

(20)
Material: AlZnFe
Method: DFT, PBE
State: optimized geometry

a = 5.8947 Å, b = 5.8948 Å, c = 2.7067 Å
α = 76.73°, β = 76.73°, γ = 26.55°
Last column: magnetic moment on the atom in μB.
Positions (direct):
Fe 0.3363 0.3363 0.6637  2.21
Zn 0.6745 0.6744 0.3255  -0.02
Al 0.9892 0.9892 0.0108  -0.01

(21)
Material: Al2ZnFe
Method: DFT, PBE
State: optimized geometry

a = 2.9237 Å, b = 2.9236 Å, c = 6.3053 Å
α = 90.00°, β = 90.00°, γ = 90.00°
Positions (direct):
Al 0.0000 0.0000 0.0380
Zn 0.5000 0.5000 0.7500
Al 0.0000 0.0000 0.4620
Fe 0.5000 0.5000 0.2500

(22)
Material: Al2ZnFe
Method: DFT, PBE
State: optimized geometry

a = 4.7860 Å, b = 4.7860 Å, c = 4.7860 Å
α = 138.22°, β = 132.16°, γ = 65.36°
Last column: magnetic moment on the atom in μB.
Positions (direct):
Al 0.7418 0.2418 0.5000  -0.01
Fe 0.5003 0.5003 0.0000  0.91
Zn 0.2556 0.7556 0.5000  -0.02
Al 0.0023 0.0023 0.0000  -0.01

(23)
Material: AlZnFe4
Method: DFT, PBE
State: optimized geometry

a = 4.0780 Å, b = 5.8891 Å, c = 6.4663 Å
α = 90.00°, β = 71.39°, γ = 90.00°
Last column: magnetic moment on the atom in μB.
Positions (direct):
Fe 0.6741 0.7500 0.6510  2.41
Fe 0.0010 0.7500 0.9978  2.39
Fe 0.8397 0.9995 0.3206  2.18
Zn 0.5000 0.5000 0.0000  -0.07
Fe 0.3259 0.2500 0.3490  2.41
Zn 0.5000 0.0000 0.0000  -0.07
Fe 0.1603 0.0005 0.6794  2.18
Fe 0.9990 0.2500 0.0022  2.39
Al 0.3232 0.7500 0.3534  -0.05
Fe 0.8397 0.5005 0.3206  2.18
Al 0.6768 0.2500 0.6466  -0.05
Fe 0.1603 0.4995 0.6794  2.18

(24)
Material: Al2ZnFe
Method: DFT, PBE
State: optimized geometry

a = 8.7779 Å, b = 8.7779 Å, c = 8.7779 Å
α = 18.26°, β = 18.26°, γ = 18.26°
Last column: magnetic moment on the atom in μB.
Positions (direct):
Al 0.2434 0.2434 0.2434  -0.02
Fe 0.5009 0.5009 0.5009  2.33
Zn 0.7552 0.7552 0.7552  -0.01
Al 0.0005 0.0005 0.0005  0.00

(25)
Material: AlZnFe4
Method: DFT, PBE
State: optimized geometry

a = 4.7383 Å, b = 4.7383 Å, c = 4.7383 Å
α = 60.00°, β = 60.00°, γ = 60.00°
Last column: magnetic moment on the atom in μB.
Positions (direct):
Fe 0.6249 0.6249 0.1254  1.85
Zn 0.2500 0.2500 0.2500  -0.07
Fe 0.6249 0.6249 0.6249  1.85
Al 0.0000 0.0000 0.0000  -0.06
Fe 0.1254 0.6249 0.6249  1.85
Fe 0.6249 0.1254 0.6249  1.85

no.,magnetic moment (μB/cell),energy (eV per atom)
1,14.14,-6.485
2,2.06,-4.362
3,22.47,-6.672
4,8.47,-6.493
5,1.72,-4.368
6,56.97,-7.055
7,2.45,-4.151
8,0.90,-4.218
9,0.00,-4.493
10,1.30,-4.527
11,1.53,-4.401
12,1.17,-4.452
13,1.38,-4.567
14,1.40,-4.430
15,13.56,-6.357
16,19.42,-6.146
17,0.00,-3.805
18,13.77,-7.045
19,2.01,-4.260
20,2.18,-4.545
21,0.00,-4.489
22,0.80,-4.453
23,17.74,-6.574
24,2.25,-4.321
25,7.08,-6.426